# Tl2Zn2Ag | Alexandria via LeMat-Bulk | GGA-PBE | optimized geometry
# Formation energy from the elements: 0.90 eV/f.u.
# Theoretical density: 9.232 Mg/m³
# Electronic total energy: -9.2 eV for the cell shown
# DOS at the Fermi energy: 0.37 states/eV/atom
# E above lowest polymorph: 44 meV per atom
data_Tl2Zn2Ag
_cell_length_a 3.586
_cell_length_b 3.586
_cell_length_c 9.403
_cell_angle_alpha 79.01
_cell_angle_beta 79.01
_cell_angle_gamma 90.00
_symmetry_space_group_name_H-M 'P 1'
_symmetry_Int_Tables_number 1
_symmetry_space_group_name_Hall 'P 1'
loop_
_atom_site_label
_atom_site_type_symbol
_atom_site_fract_x
_atom_site_fract_y
_atom_site_fract_z
Tl1 Tl 0.398 0.398 0.203
Tl2 Tl 0.602 0.602 0.797
Zn1 Zn 0.250 0.750 0.500
Zn2 Zn 0.750 0.250 0.500
Ag1 Ag 0.000 0.000 0.000